Compound: LiLaCoF6
Source: Alexandria via LeMat-Bulk
Functional: PBE with a Hubbard U
Structure: optimized geometry

Output
The space-group type is P4_2nm. Its density of states at the Fermi level is 0.000 states/eV/cell. For the total energy, the calculation gives -5.721 eV/atom.

abc: 5.0718 5.0718 10.0203
angles: 90.00 90.00 90.00
Closest atoms and distances in Å follow each position.
Positions (direct):
Li 0.5000 0.5000 0.5055  6 F 2.07-2.24
Li 0.0000 0.0000 0.0055  6 F 2.07-2.24
La 0.5000 0.5000 0.1673  6 F 2.32-2.35
La 0.0000 0.0000 0.6673  6 F 2.32-2.35
Co 0.5000 0.5000 0.8339  6 F 2.05-2.10
Co 0.0000 0.0000 0.3339  6 F 2.05-2.10
F 0.2033 0.7967 0.4840  1 Co 2.10, 1 Li 2.14, 1 La 2.35
F 0.7967 0.2033 0.4840  1 Co 2.10, 1 Li 2.14, 1 La 2.35
F 0.2967 0.2967 0.9840  1 Co 2.10, 1 Li 2.14, 1 La 2.35
F 0.7033 0.7033 0.9840  1 Co 2.10, 1 Li 2.14, 1 La 2.35
F 0.1762 0.8238 0.1693  1 Li 2.07, 1 Co 2.08
F 0.8238 0.1762 0.1693  1 Li 2.07, 1 Co 2.08
F 0.3238 0.3238 0.6693  1 Li 2.07, 1 Co 2.08
F 0.6762 0.6762 0.6693  1 Li 2.07, 1 Co 2.08
F 0.7857 0.2143 0.8434  1 Co 2.05, 1 Li 2.24
F 0.2143 0.7857 0.8434  1 Co 2.05, 1 Li 2.24
F 0.7143 0.7143 0.3434  1 Co 2.05, 1 Li 2.24
F 0.2857 0.2857 0.3434  1 Co 2.05, 1 Li 2.24